# 1
# Pr8Bi2Ir | Alexandria via LeMat-Bulk | PBE | optimized geometry
# Energy of formation from the pure elements (eV per formula unit): -4.80
# Magnetization (Bohr magnetons per cell): 0.00
# Calculated volume (A^3/atom): 33.3
data_Pr8Bi2Ir
_chemical_formula_sum 'Pr16 Bi4 Ir2'
_space_group_name_H-M_alt 'C 1 2/m 1'
_space_group_IT_number 12
_space_group_name_Hall '-C 2y'
_cell_length_a 19.695
_cell_length_b 4.771
_cell_length_c 7.887
_cell_angle_alpha 90.00
_cell_angle_beta 98.48
_cell_angle_gamma 90.00
loop_
_atom_site_label
_atom_site_type_symbol
_atom_site_fract_x
_atom_site_fract_y
_atom_site_fract_z
Pr1 Pr 0.004 0.000 0.282
Pr2 Pr 0.094 0.500 0.010
Pr3 Pr 0.143 0.500 0.533
Pr4 Pr 0.214 0.000 0.853
Bi1 Bi 0.183 0.000 0.269
Ir1 Ir 0.000 0.500 0.500

=====

# 2
# Pr12BiIr6 | Alexandria via LeMat-Bulk | PBE | optimized geometry
# Energy of formation from the pure elements (eV per formula unit): -9.69
# Magnetization (Bohr magnetons per cell): 0.00
# Calculated volume (A^3/atom): 29.8
data_Pr12BiIr6
_chemical_formula_sum 'Pr24 Bi2 Ir12'
_space_group_name_H-M_alt 'I m -3'
_space_group_IT_number 204
_space_group_name_Hall '-I 2 2 3'
_cell_length_a 10.418
_cell_length_b 10.418
_cell_length_c 10.418
_cell_angle_alpha 90.00
_cell_angle_beta 90.00
_cell_angle_gamma 90.00
loop_
_atom_site_label
_atom_site_type_symbol
_atom_site_fract_x
_atom_site_fract_y
_atom_site_fract_z
Pr1 Pr 0.000 0.190 0.307
Bi1 Bi 0.000 0.000 0.000
Ir1 Ir 0.000 0.375 0.500

=====

# 3
# Pr5Bi2Ir | Alexandria via LeMat-Bulk | PBE | optimized geometry
# Energy of formation from the pure elements (eV per formula unit): -3.51
# Magnetization (Bohr magnetons per cell): 0.00
# Calculated volume (A^3/atom): 32.5
data_Pr5Bi2Ir
_chemical_formula_sum 'Pr20 Bi8 Ir4'
_space_group_name_H-M_alt 'C m c m'
_space_group_IT_number 63
_space_group_name_Hall '-C 2c 2'
_cell_length_a 6.078
_cell_length_b 10.195
_cell_length_c 16.782
_cell_angle_alpha 90.00
_cell_angle_beta 90.00
_cell_angle_gamma 90.00
loop_
_atom_site_label
_atom_site_type_symbol
_atom_site_fract_x
_atom_site_fract_y
_atom_site_fract_z
Pr1 Pr 0.000 0.075 0.107
Pr2 Pr 0.000 0.257 0.750
Pr3 Pr 0.000 0.409 0.126
Bi1 Bi 0.000 0.261 0.558
Ir1 Ir 0.000 0.219 0.250

=====

What did the first record say?
# Pr8Bi2Ir | Alexandria via LeMat-Bulk | PBE | optimized geometry
# Energy of formation from the pure elements (eV per formula unit): -4.80
# Magnetization (Bohr magnetons per cell): 0.00
# Calculated volume (A^3/atom): 33.3
data_Pr8Bi2Ir
_chemical_formula_sum 'Pr16 Bi4 Ir2'
_space_group_name_H-M_alt 'C 1 2/m 1'
_space_group_IT_number 12
_space_group_name_Hall '-C 2y'
_cell_length_a 19.695
_cell_length_b 4.771
_cell_length_c 7.887
_cell_angle_alpha 90.00
_cell_angle_beta 98.48
_cell_angle_gamma 90.00
loop_
_atom_site_label
_atom_site_type_symbol
_atom_site_fract_x
_atom_site_fract_y
_atom_site_fract_z
Pr1 Pr 0.004 0.000 0.282
Pr2 Pr 0.094 0.500 0.010
Pr3 Pr 0.143 0.500 0.533
Pr4 Pr 0.214 0.000 0.853
Bi1 Bi 0.183 0.000 0.269
Ir1 Ir 0.000 0.500 0.500